Computed, not measured: a relaxed Li2V2H7 crystal at the GGA-PBE level of DFT.

Lattice parameters (Å, degrees): 5.6270 6.3632 4.5302 90.00 90.00 90.00
Space group Cmmm (No. 65)
Asymmetric unit:
Li: 0.2462 0.0000 0.0000 x4
V: 0.0000 0.2761 0.5000 x4
H: 0.0000 0.0000 0.5000 x2
H: 0.0000 0.5000 0.2690 x4
H: 0.2500 0.2500 0.2500 x8

Values from the calculation:
total DFT energy (no corrections) = -4.29 eV per atom
density = 2.515 g cm⁻³
total magnetization = 2.669 μB/f.u.

=====

Computed, not measured: a relaxed LiVH crystal at the GGA-PBE level of DFT.

Lattice parameters (Å, degrees): 2.6978 2.6978 28.8185 90.00 90.00 120.00
Space group R-3m (No. 166, hexagonal axes)
Asymmetric unit:
Li: 0.0000 0.0000 0.1237 x6
V: 0.0000 0.0000 0.2939 x6
H: 0.0000 0.0000 0.4117 x6

Values from the calculation:
total DFT energy (no corrections) = -4.88 eV per atom
density = 3.230 g cm⁻³
total magnetization = 0.001 μB/f.u.

=====

Computed, not measured: a relaxed LiV2H crystal at the GGA-PBE level of DFT.

Lattice parameters (Å, degrees): 5.4991 5.4991 5.4991 90.00 90.00 90.00
Space group Fm-3m (No. 225)
Asymmetric unit:
Li: 0.0000 0.0000 0.0000 x4
V: 0.2500 0.2500 0.2500 x8
H: 0.0000 0.0000 0.5000 x4

Values from the calculation:
total DFT energy (no corrections) = -5.05 eV per atom
excess energy over the best structure of this formula in the dataset = 0.498 eV/atom
density = 4.387 g cm⁻³
total magnetization = 0.000 μB/f.u.

=====

Computed, not measured: a relaxed LiZrV2H crystal at the GGA-PBE level of DFT.

Lattice parameters (Å, degrees): 4.7129 4.7129 5.4590 90.00 90.00 90.00
Space group P4/mmm (No. 123)
Asymmetric unit:
Li: 0.0000 0.0000 0.0000 x1
Zr: 0.0000 0.0000 0.5000 x1
V: 0.0000 0.5000 0.5000 x2
H: 0.5000 0.5000 0.0000 x1

Values from the calculation:
total DFT energy (no corrections) = -4.39 eV per atom
density = 2.753 g cm⁻³
total magnetization = 2.896 μB/f.u.

=====

Computed, not measured: a relaxed LiZr2VH crystal at the GGA-PBE level of DFT.

Lattice parameters (Å, degrees): 4.8092 4.8092 4.0279 90.00 90.00 90.00
Space group P4/mmm (No. 123)
Asymmetric unit:
Li: 0.0000 0.0000 0.0000 x1
Zr: 0.0000 0.5000 0.0000 x2
V: 0.0000 0.0000 0.5000 x1
H: 0.5000 0.5000 0.5000 x1

Values from the calculation:
total DFT energy (no corrections) = -4.83 eV per atom
density = 4.302 g cm⁻³
total magnetization = 2.359 μB/f.u.

=====

Computed, not measured: a relaxed LiH3W crystal at the GGA-PBE level of DFT.

Lattice parameters (Å, degrees): 3.5468 3.5468 3.5468 90.00 90.00 90.00
Space group Pm-3m (No. 221)
Asymmetric unit:
Li: 0.0000 0.0000 0.0000 x1
H: 0.0000 0.5000 0.5000 x3
W: 0.5000 0.5000 0.5000 x1

Values from the calculation:
total DFT energy (no corrections) = -4.71 eV per atom
excess energy over the best structure of this formula in the dataset = 0.000 eV/atom
density = 7.213 g cm⁻³
total magnetization = 0.000 μB/f.u.

=====

Computed, not measured: a relaxed LiHW2 crystal at the GGA-PBE level of DFT.

Lattice parameters (Å, degrees): 5.6149 5.6149 7.8761 90.00 90.00 90.00
Space group I4_1/amd (No. 141, origin choice 2)
Asymmetric unit:
Li: 0.0000 0.2500 0.3750 x4
H: 0.0000 0.2500 0.8750 x4
W: 0.0000 0.0000 0.0000 x8

Values from the calculation:
total DFT energy (no corrections) = -6.87 eV per atom
excess energy over the best structure of this formula in the dataset = 0.000 eV/atom
density = 10.048 g cm⁻³
total magnetization = 0.000 μB/f.u.

=====

Computed, not measured: a relaxed Li3H8W crystal at the GGA-PBE level of DFT.

Lattice parameters (Å, degrees): 4.4966 4.4966 4.4966 90.00 90.00 90.00
Space group Pm-3m (No. 221)
Asymmetric unit:
Li: 0.0000 0.0000 0.5000 x3
H: 0.2657 0.2657 0.2657 x8
W: 0.5000 0.5000 0.5000 x1

Values from the calculation:
total DFT energy (no corrections) = -3.84 eV per atom
density = 3.885 g cm⁻³
total magnetization = 1.702 μB/f.u.

=====

Computed, not measured: a relaxed LiH3W crystal at the GGA-PBE level of DFT.

Lattice parameters (Å, degrees): 3.1736 3.1736 3.1736 90.00 90.00 90.00
Space group Pm-3m (No. 221)
Asymmetric unit:
Li: 0.0000 0.0000 0.0000 x1
H: 0.0000 0.0000 0.5000 x3
W: 0.5000 0.5000 0.5000 x1

Values from the calculation:
total DFT energy (no corrections) = -4.50 eV per atom
excess energy over the best structure of this formula in the dataset = 0.213 eV/atom
density = 10.068 g cm⁻³
total magnetization = 0.506 μB/f.u.

=====

Computed, not measured: a relaxed LiHW2 crystal at the GGA-PBE level of DFT.

Lattice parameters (Å, degrees): 5.6955 5.6955 5.6955 90.00 90.00 90.00
Space group Fm-3m (No. 225)
Asymmetric unit:
Li: 0.0000 0.0000 0.0000 x4
H: 0.0000 0.0000 0.5000 x4
W: 0.2500 0.2500 0.2500 x8

Values from the calculation:
total DFT energy (no corrections) = -6.62 eV per atom
excess energy over the best structure of this formula in the dataset = 0.253 eV/atom
density = 13.504 g cm⁻³
total magnetization = 0.000 μB/f.u.

=====

Computed, not measured: a relaxed Li2H6W crystal at the GGA-PBE level of DFT.

Lattice parameters (Å, degrees): 6.9806 6.9806 6.9806 90.00 90.00 90.00
Space group Fm-3m (No. 225)
Asymmetric unit:
Li: 0.2500 0.2500 0.2500 x8
H: 0.0000 0.0000 0.2404 x24
W: 0.0000 0.0000 0.5000 x4

Values from the calculation:
total DFT energy (no corrections) = -3.79 eV per atom
excess energy over the best structure of this formula in the dataset = 0.351 eV/atom
density = 3.979 g cm⁻³
total magnetization = 2.194 μB/f.u.

=====

Computed, not measured: a relaxed Li2H6W crystal at the GGA-PBE level of DFT.

Lattice parameters (Å, degrees): 2.8615 5.4064 9.4552 90.00 90.00 90.00
Space group Immm (No. 71)
Asymmetric unit:
Li: 0.0000 0.0000 0.2368 x4
H: 0.0000 0.2218 0.5000 x4
H: 0.0000 0.3091 0.1593 x8
W: 0.0000 0.5000 0.0000 x2

Values from the calculation:
total DFT energy (no corrections) = -4.14 eV per atom
excess energy over the best structure of this formula in the dataset = 0.000 eV/atom
density = 4.626 g cm⁻³
total magnetization = 0.260 μB/f.u.

=====

Computed, not measured: a relaxed LiYH2 crystal at the GGA-PBE level of DFT.

Lattice parameters (Å, degrees): 5.6722 5.6722 5.6722 90.00 90.00 90.00
Space group Fm-3m (No. 225)
Asymmetric unit:
Li: 0.0000 0.0000 0.0000 x4
Y: 0.0000 0.0000 0.5000 x4
H: 0.2500 0.2500 0.2500 x8

Values from the calculation:
total DFT energy (no corrections) = -3.93 eV per atom
excess energy over the best structure of this formula in the dataset = 0.129 eV/atom
density = 3.562 g cm⁻³
total magnetization = 0.000 μB/f.u.

=====

Computed, not measured: a relaxed Li5Y3H12 crystal at the GGA-PBE level of DFT.

Lattice parameters (Å, degrees): 11.8590 11.8590 11.8590 90.00 90.00 90.00
Space group Ia-3d (No. 230)
Asymmetric unit:
Li: 0.0000 0.0000 0.0000 x16
Li: 0.0000 0.2500 0.3750 x24
Y: 0.0000 0.2500 0.1250 x24
H: 0.0244 0.0626 0.6546 x96

Values from the calculation:
total DFT energy (no corrections) = -3.92 eV per atom
density = 2.497 g cm⁻³
total magnetization = 0.000 μB/f.u.

=====

Computed, not measured: a relaxed Li2YH4 crystal at the GGA-PBE level of DFT.

Lattice parameters (Å, degrees): 4.1590 4.1590 11.2629 90.00 90.00 90.00
Space group I4/mmm (No. 139)
Asymmetric unit:
Li: 0.0000 0.0000 0.1573 x4
Y: 0.0000 0.0000 0.5000 x2
H: 0.0000 0.0000 0.3122 x4
H: 0.0000 0.5000 0.0000 x4

Values from the calculation:
total DFT energy (no corrections) = -3.57 eV per atom
density = 1.821 g cm⁻³
total magnetization = 0.025 μB/f.u.

=====

Computed, not measured: a relaxed LiYH3 crystal at the GGA-PBE level of DFT.

Lattice parameters (Å, degrees): 4.1883 4.1883 4.1883 90.00 90.00 90.00
Space group Pm-3m (No. 221)
Asymmetric unit:
Li: 0.0000 0.0000 0.0000 x1
Y: 0.5000 0.5000 0.5000 x1
H: 0.0000 0.5000 0.5000 x3

Values from the calculation:
total DFT energy (no corrections) = -3.91 eV per atom
excess energy over the best structure of this formula in the dataset = 0.183 eV/atom
density = 2.235 g cm⁻³
total magnetization = 0.000 μB/f.u.

=====

Computed, not measured: a relaxed LiYH3 crystal at the GGA-PBE level of DFT.

Lattice parameters (Å, degrees): 3.5795 3.5795 3.5795 90.00 90.00 90.00
Space group Pm-3m (No. 221)
Asymmetric unit:
Li: 0.0000 0.0000 0.0000 x1
Y: 0.5000 0.5000 0.5000 x1
H: 0.0000 0.0000 0.5000 x3

Values from the calculation:
total DFT energy (no corrections) = -4.09 eV per atom
excess energy over the best structure of this formula in the dataset = 0.000 eV/atom
density = 3.580 g cm⁻³
total magnetization = 0.000 μB/f.u.

=====

Computed, not measured: a relaxed Li2YH crystal at the GGA-PBE level of DFT.

Lattice parameters (Å, degrees): 6.7945 6.7945 6.7945 90.00 90.00 90.00
Space group Fm-3m (No. 225)
Asymmetric unit:
Li: 0.2500 0.2500 0.2500 x8
Y: 0.0000 0.0000 0.0000 x4
H: 0.0000 0.0000 0.5000 x4

Values from the calculation:
total DFT energy (no corrections) = -2.66 eV per atom
excess energy over the best structure of this formula in the dataset = 0.613 eV/atom
density = 2.198 g cm⁻³
total magnetization = 0.000 μB/f.u.

=====

Computed, not measured: a relaxed LiYH2 crystal at the GGA-PBE level of DFT.

Lattice parameters (Å, degrees): 4.5220 4.5220 10.7431 90.00 90.00 90.00
Space group I-42d (No. 122)
Asymmetric unit:
Li: 0.0000 0.0000 0.0000 x4
Y: 0.0000 0.0000 0.5000 x4
H: 0.2106 0.2500 0.1250 x8

Values from the calculation:
total DFT energy (no corrections) = -3.97 eV per atom
excess energy over the best structure of this formula in the dataset = 0.091 eV/atom
density = 2.959 g cm⁻³
total magnetization = 1.210 μB/f.u.

=====

Computed, not measured: a relaxed Li2YH crystal at the GGA-PBE level of DFT.

Lattice parameters (Å, degrees): 5.8967 5.8967 8.3672 90.00 90.00 90.00
Space group I4_1/amd (No. 141, origin choice 2)
Asymmetric unit:
Li: 0.0000 0.0000 0.0000 x8
Y: 0.0000 0.2500 0.3750 x4
H: 0.0000 0.2500 0.8750 x4

Values from the calculation:
total DFT energy (no corrections) = -3.27 eV per atom
excess energy over the best structure of this formula in the dataset = 0.000 eV/atom
density = 2.370 g cm⁻³
total magnetization = 0.000 μB/f.u.